Entry from the Alexandria database: a relaxed structure of VNi3Sb2P6O24 (PBE+U).

Structure (POSCAR):
```
VNi3Sb2P6O24
1.0
-1.607 -8.572 -1.196
6.586 -5.804 -0.651
1.548 -5.843 6.400
V Ni Sb P O
1 3 2 6 24
Direct
0.857 0.857 0.857
0.352 0.352 0.352
0.153 0.153 0.153
0.648 0.648 0.648
0.018 0.018 0.018
0.505 0.505 0.505
0.747 0.039 0.465
0.039 0.465 0.747
0.465 0.747 0.039
0.541 0.247 0.953
0.953 0.541 0.247
0.247 0.953 0.541
0.896 0.491 0.684
0.491 0.684 0.896
0.684 0.896 0.491
0.914 0.066 0.267
0.820 0.984 0.620
0.587 0.236 0.456
0.066 0.267 0.914
0.236 0.456 0.587
0.384 0.203 0.978
0.456 0.587 0.236
0.735 0.078 0.916
0.978 0.384 0.203
0.984 0.620 0.820
0.267 0.914 0.066
0.573 0.410 0.755
0.620 0.820 0.984
0.755 0.573 0.410
0.916 0.735 0.078
0.410 0.755 0.573
0.203 0.978 0.384
0.078 0.916 0.735
0.287 0.109 0.526
0.526 0.287 0.109
0.109 0.526 0.287
```

Summary:
The space group is R3. Its total energy is -239.7 eV for the cell shown.